An optimized crystal structure of RbHf2MoI, computed with PBE-GGA.

abc: 5.173 5.173 5.846
angles: 90.00 90.00 90.00
Element x y z (fractional)
Rb: 0.000 0.000 0.000
Hf: 0.000 0.500 0.000
Hf: 0.500 0.000 0.000
Mo: 0.500 0.500 0.500
I: 0.000 0.000 0.500

Values from the calculation:
**Fermi-level density of states**: 5.8 states/eV/cell
**Calculated total energy**: -3.917 eV per atom
**Space group**: P4/mmm, No. 123
**Formation energy from raw total energies**: 63.05 kcal/mol of atoms

---

An optimized crystal structure of Rb2HfMoI6, computed with PBE-GGA.

abc: 8.095 8.095 8.095
angles: 60.00 60.00 60.00
Element x y z (fractional)
Rb: 0.250 0.250 0.250
Rb: 0.750 0.750 0.750
Hf: 0.000 0.000 0.000
Mo: 0.500 0.500 0.500
I: 0.252 0.252 0.748
I: 0.252 0.748 0.252
I: 0.252 0.748 0.748
I: 0.748 0.252 0.252
I: 0.748 0.252 0.748
I: 0.748 0.748 0.252

Values from the calculation:
**Fermi-level density of states**: 7.8 states/eV/cell
**Calculated total energy**: -3.687 eV per atom
**Space group**: Fm-3m, No. 225
**Formation energy from raw total energies**: -11.18 kcal/mol of atoms

---

An optimized crystal structure of HfReMoI2, computed with PBE-GGA.

abc: 5.261 5.261 5.176
angles: 90.00 90.00 90.00
Element x y z (fractional)
Hf: 0.000 0.000 0.000
Re: 0.500 0.500 0.000
Mo: 0.000 0.000 0.500
I: 0.000 0.500 0.500
I: 0.500 0.000 0.500

Values from the calculation:
**Fermi-level density of states**: 5.1 states/eV/cell
**Calculated total energy**: -5.410 eV per atom
**Space group**: P4/mmm, No. 123
**Formation energy from raw total energies**: 42.82 kcal/mol of atoms

---

An optimized crystal structure of HfSbMoI2, computed with PBE-GGA.

abc: 5.563 5.563 5.747
angles: 90.00 90.00 90.00
Element x y z (fractional)
Hf: 0.000 0.000 0.000
Sb: 0.000 0.000 0.500
Mo: 0.500 0.500 0.500
I: 0.000 0.500 0.000
I: 0.500 0.000 0.000

Values from the calculation:
**Fermi-level density of states**: 2.9 states/eV/cell
**Calculated total energy**: -4.765 eV per atom
**Space group**: P4/mmm, No. 123
**Polymorph energy (0 for the lowest one)**: 0.000 eV per atom
**Formation energy from raw total energies**: 19.30 kcal/mol of atoms

---

An optimized crystal structure of HfSb2MoI, computed with PBE-GGA.

abc: 5.555 5.555 5.555
angles: 90.00 90.00 90.00
Element x y z (fractional)
Hf: 0.000 0.000 0.000
Sb: 0.000 0.500 0.000
Sb: 0.500 0.000 0.000
Mo: 0.500 0.500 0.500
I: 0.000 0.000 0.500

Values from the calculation:
**Fermi-level density of states**: 4.0 states/eV/cell
**Calculated total energy**: -5.149 eV per atom
**Space group**: P4/mmm, No. 123
**Polymorph energy (0 for the lowest one)**: 0.000 eV per atom
**Formation energy from raw total energies**: 22.29 kcal/mol of atoms

---

An optimized crystal structure of Hf3IN, computed with PBE-GGA.

abc: 4.528 4.528 4.528
angles: 90.00 90.00 90.00
Element x y z (fractional)
Hf: 0.000 0.000 0.500
Hf: 0.000 0.500 0.000
Hf: 0.500 0.000 0.000
I: 0.500 0.500 0.500
N: 0.000 0.000 0.000

Values from the calculation:
**Fermi-level density of states**: 8.3 states/eV/cell
**Calculated total energy**: -8.116 eV per atom
**Space group**: Pm-3m, No. 221
**Polymorph energy (0 for the lowest one)**: 0.000 eV per atom
**Formation energy from raw total energies**: -3.88 kcal/mol of atoms

---

An optimized crystal structure of HfIN3, computed with PBE-GGA.

abc: 4.015 4.015 4.015
angles: 90.00 90.00 90.00
Element x y z (fractional)
Hf: 0.000 0.000 0.000
I: 0.500 0.500 0.500
N: 0.000 0.500 0.500
N: 0.500 0.000 0.500
N: 0.500 0.500 0.000

Values from the calculation:
**Fermi-level density of states**: 1.6 states/eV/cell
**Calculated total energy**: -5.780 eV per atom
**Space group**: Pm-3m, No. 221
**Formation energy from raw total energies**: 34.97 kcal/mol of atoms

---

An optimized crystal structure of Hf2IN, computed with PBE-GGA.

abc: 6.903 6.903 6.903
angles: 131.40 131.40 71.18
Element x y z (fractional)
Hf: 0.375 0.247 0.372
Hf: 0.753 0.125 0.128
Hf: 0.875 0.003 0.628
Hf: 0.997 0.625 0.872
I: 0.250 0.750 0.500
I: 0.500 0.500 0.000
N: 0.000 0.000 0.000
N: 0.750 0.250 0.500

Values from the calculation:
**Fermi-level density of states**: 4.4 states/eV/cell
**Calculated total energy**: -7.848 eV per atom
**Space group**: I-42d, No. 122
**Formation energy from raw total energies**: -9.28 kcal/mol of atoms

---

An optimized crystal structure of HfIN2, computed with PBE-GGA.

abc: 6.284 6.284 6.284
angles: 126.41 126.41 79.22
Element x y z (fractional)
Hf: 0.000 0.000 0.000
Hf: 0.750 0.250 0.500
I: 0.250 0.750 0.500
I: 0.500 0.500 0.000
N: 0.025 0.625 0.900
N: 0.375 0.275 0.400
N: 0.725 0.125 0.100
N: 0.875 0.975 0.600

Values from the calculation:
**Fermi-level density of states**: 12.9 states/eV/cell
**Calculated total energy**: -6.864 eV per atom
**Space group**: I-42d, No. 122
**Polymorph energy (0 for the lowest one)**: 0.534 eV per atom
**Formation energy from raw total energies**: 4.04 kcal/mol of atoms

---

An optimized crystal structure of Hf4IN2, computed with PBE-GGA.

abc: 7.049 7.049 7.049
angles: 138.12 138.12 60.72
Element x y z (fractional)
Hf: 0.000 0.500 0.500
Hf: 0.246 0.246 0.000
Hf: 0.500 0.000 0.500
Hf: 0.754 0.754 0.000
I: 0.500 0.500 0.000
N: 0.092 0.092 0.000
N: 0.908 0.908 0.000

Values from the calculation:
**Fermi-level density of states**: 5.8 states/eV/cell
**Calculated total energy**: -7.518 eV per atom
**Space group**: I4/mmm, No. 139
**Formation energy from raw total energies**: 17.74 kcal/mol of atoms

---

An optimized crystal structure of HfIN2, computed with PBE-GGA.

abc: 6.851 6.851 6.851
angles: 28.48 28.48 28.48
Element x y z (fractional)
Hf: 0.000 0.000 0.000
I: 0.500 0.500 0.500
N: 0.388 0.388 0.388
N: 0.612 0.612 0.612

Values from the calculation:
**Fermi-level density of states**: 2.0 states/eV/cell
**Calculated total energy**: -7.397 eV per atom
**Space group**: R-3m, No. 166
**Polymorph energy (0 for the lowest one)**: 0.000 eV per atom
**Formation energy from raw total energies**: -8.27 kcal/mol of atoms

---

An optimized crystal structure of HfIN, computed with PBE-GGA.

abc: 11.685 11.685 11.685
angles: 18.26 18.26 18.26
Element x y z (fractional)
Hf: 0.203 0.203 0.203
Hf: 0.797 0.797 0.797
I: 0.399 0.399 0.399
I: 0.601 0.601 0.601
N: 0.141 0.141 0.141
N: 0.859 0.859 0.859

Values from the calculation:
**Calculated total energy**: -8.017 eV per atom
**Space group**: R-3m, No. 166
**Formation energy from raw total energies**: -32.46 kcal/mol of atoms

---

An optimized crystal structure of HfIN3, computed with PBE-GGA.

abc: 4.238 4.238 4.238
angles: 90.00 90.00 90.00
Element x y z (fractional)
Hf: 0.000 0.000 0.000
I: 0.500 0.500 0.500
N: 0.000 0.000 0.500
N: 0.000 0.500 0.000
N: 0.500 0.000 0.000

Values from the calculation:
**Fermi-level density of states**: 7.6 states/eV/cell
**Calculated total energy**: -6.323 eV per atom
**Space group**: Pm-3m, No. 221
**Formation energy from raw total energies**: 22.44 kcal/mol of atoms

---

An optimized crystal structure of HfIN2, computed with PBE-GGA.

abc: 4.239 4.239 4.239
angles: 60.00 60.00 60.00
Element x y z (fractional)
Hf: 0.000 0.000 0.000
I: 0.500 0.500 0.500
N: 0.250 0.250 0.250
N: 0.750 0.750 0.750

Values from the calculation:
**Fermi-level density of states**: 4.0 states/eV/cell
**Calculated total energy**: -5.891 eV per atom
**Space group**: Fm-3m, No. 225
**Polymorph energy (0 for the lowest one)**: 1.506 eV per atom
**Formation energy from raw total energies**: 26.45 kcal/mol of atoms

---

An optimized crystal structure of Hf2IN2, computed with PBE-GGA.

abc: 6.372 6.372 6.372
angles: 144.54 144.54 51.02
Element x y z (fractional)
Hf: 0.172 0.172 0.000
Hf: 0.828 0.828 0.000
I: 0.500 0.500 0.000
N: 0.250 0.750 0.500
N: 0.750 0.250 0.500

Values from the calculation:
**Fermi-level density of states**: 1.1 states/eV/cell
**Calculated total energy**: -8.849 eV per atom
**Space group**: I4/mmm, No. 139
**Polymorph energy (0 for the lowest one)**: 0.000 eV per atom
**Formation energy from raw total energies**: -28.30 kcal/mol of atoms

---

An optimized crystal structure of HfI2N, computed with PBE-GGA.

abc: 4.972 4.972 4.972
angles: 60.00 60.00 60.00
Element x y z (fractional)
Hf: 0.000 0.000 0.000
I: 0.250 0.250 0.250
I: 0.750 0.750 0.750
N: 0.500 0.500 0.500

Values from the calculation:
**Fermi-level density of states**: 1.3 states/eV/cell
**Calculated total energy**: -4.431 eV per atom
**Space group**: Fm-3m, No. 225
**Polymorph energy (0 for the lowest one)**: 0.000 eV per atom
**Formation energy from raw total energies**: 21.08 kcal/mol of atoms

---

An optimized crystal structure of HfI2N, computed with PBE-GGA.

abc: 6.478 6.478 6.478
angles: 107.40 107.40 113.71
Element x y z (fractional)
Hf: 0.000 0.000 0.000
Hf: 0.750 0.250 0.500
I: 0.122 0.125 0.497
I: 0.375 0.878 0.003
I: 0.628 0.625 0.503
I: 0.875 0.372 0.997
N: 0.250 0.750 0.500
N: 0.500 0.500 0.000

Values from the calculation:
**Fermi-level density of states**: 5.5 states/eV/cell
**Calculated total energy**: -4.201 eV per atom
**Space group**: I-42d, No. 122
**Polymorph energy (0 for the lowest one)**: 0.230 eV per atom
**Formation energy from raw total energies**: 26.38 kcal/mol of atoms

---

An optimized crystal structure of Hf2IN, computed with PBE-GGA.

abc: 4.612 4.612 4.612
angles: 60.00 60.00 60.00
Element x y z (fractional)
Hf: 0.250 0.250 0.250
Hf: 0.750 0.750 0.750
I: 0.000 0.000 0.000
N: 0.500 0.500 0.500

Values from the calculation:
**Fermi-level density of states**: 0.1 states/eV/cell
**Calculated total energy**: -6.983 eV per atom
**Space group**: Fm-3m, No. 225
**Formation energy from raw total energies**: 10.66 kcal/mol of atoms

---

An optimized crystal structure of Hf2IN2, computed with PBE-GGA.

abc: 7.166 7.166 3.063
angles: 90.00 90.00 90.00
Element x y z (fractional)
Hf: 0.133 0.367 0.000
Hf: 0.367 0.867 0.000
Hf: 0.633 0.133 0.000
Hf: 0.867 0.633 0.000
I: 0.000 0.000 0.000
I: 0.500 0.500 0.000
N: 0.119 0.619 0.500
N: 0.381 0.119 0.500
N: 0.619 0.881 0.500
N: 0.881 0.381 0.500

Values from the calculation:
**Fermi-level density of states**: 3.8 states/eV/cell
**Calculated total energy**: -7.843 eV per atom
**Space group**: P4/mbm, No. 127
**Polymorph energy (0 for the lowest one)**: 1.006 eV per atom
**Formation energy from raw total energies**: -5.10 kcal/mol of atoms

---

An optimized crystal structure of NaHfI2N, computed with PBE-GGA.

abc: 5.968 5.968 4.042
angles: 90.00 90.00 90.00
Element x y z (fractional)
Na: 0.000 0.000 0.000
Hf: 0.500 0.500 0.500
I: 0.000 0.500 0.500
I: 0.500 0.000 0.500
N: 0.500 0.500 0.000

Values from the calculation:
**Fermi-level density of states**: 1.4 states/eV/cell
**Calculated total energy**: -5.140 eV per atom
**Space group**: P4/mmm, No. 123
**Polymorph energy (0 for the lowest one)**: 0.000 eV per atom
**Formation energy from raw total energies**: -13.85 kcal/mol of atoms

---

no.,V (Å³/cell)
1,156.4
2,375.1
3,143.2
4,177.8
5,171.4
6,92.8
7,64.7
8,181.2
9,155.4
10,154.4
11,64.6
12,136.8
13,76.1
14,53.9
15,86.6
16,86.9
17,208.4
18,69.4
19,157.3
20,143.9